Entry 1:
Material: CsSc3Tl
Method: DFT, SCAN
State: single point on PBEsol structure

For the total energy, the calculation gives -1.0737 hartree per atom.

Cell lengths 5.197, 5.197, 5.197 Å; angles 90.00, 90.00, 90.00 degrees
Positions (direct):
Sc 0.500 0.000 0.000
Sc 0.000 0.000 0.500
Sc 0.000 0.500 0.000
Cs 0.000 0.000 0.000
Tl 0.500 0.500 0.500



Entry 2:
Material: Cs2YSc
Method: DFT, SCAN
State: single point on PBEsol structure

For the total energy, the calculation gives -1.0390 hartree per atom.

Cell lengths 6.202, 6.202, 6.202 Å; angles 60.00, 60.00, 60.00 degrees
Site moments in Bohr magnetons follow the coordinates.
Positions (direct):
Cs 0.250 0.250 0.250  0.06
Cs 0.750 0.750 0.750  0.06
Sc 0.000 0.000 0.000  0.77
Y 0.500 0.500 0.500  0.58



Entry 3:
Material: Cs2Se5
Method: DFT, SCAN
State: single point on PBEsol structure

The calculation puts the raw formation energy at -5.17 eV per formula unit.

Cell lengths 6.855, 7.466, 18.597 Å; angles 90.00, 90.00, 90.00 degrees
Positions (direct):
Se 0.593 0.578 0.981
Se 0.461 0.343 0.804
Se 0.039 0.657 0.304
Se 0.725 0.361 0.146
Se 0.575 0.112 0.627
Se 0.902 0.243 0.838
Se 0.539 0.843 0.696
Se 0.425 0.612 0.873
Se 0.925 0.888 0.127
Se 0.225 0.139 0.854
Se 0.598 0.757 0.338
Se 0.407 0.078 0.519
Se 0.275 0.861 0.354
Se 0.961 0.157 0.196
Se 0.907 0.422 0.481
Se 0.402 0.257 0.162
Se 0.075 0.388 0.373
Se 0.093 0.922 0.019
Se 0.098 0.743 0.662
Se 0.775 0.639 0.646
Cs 0.411 0.756 0.162
Cs 0.089 0.244 0.662
Cs 0.899 0.918 0.490
Cs 0.601 0.082 0.990
Cs 0.101 0.418 0.010
Cs 0.911 0.744 0.838
Cs 0.399 0.582 0.510
Cs 0.589 0.256 0.338



Entry 4:
Material: CsSnSe3
Method: DFT, SCAN
State: single point on PBEsol structure

The offset from the most stable computed form comes out at 1725 meV/atom. The calculation puts the raw formation energy at 4.79 eV per formula unit.

Cell lengths 5.591, 5.591, 5.591 Å; angles 90.00, 90.00, 90.00 degrees
Positions (direct):
Se 0.500 0.000 0.000
Se 0.000 0.000 0.500
Se 0.000 0.500 0.000
Sn 0.500 0.500 0.500
Cs 0.000 0.000 0.000



Entry 5:
Material: CsSnSe3
Method: DFT, SCAN
State: single point on PBEsol structure

The offset from the most stable computed form comes out at 0 meV/atom. The calculation puts the raw formation energy at -3.84 eV per formula unit.

Cell lengths 7.093, 8.010, 7.440 Å; angles 99.63, 106.55, 115.37 degrees
Positions (direct):
Sn 0.221 0.428 0.509
Sn 0.779 0.572 0.491
Se 0.190 0.127 0.613
Se 0.769 0.268 0.301
Se 0.810 0.873 0.387
Se 0.231 0.732 0.699
Se 0.660 0.567 0.783
Se 0.340 0.433 0.217
Cs 0.776 0.154 0.805
Cs 0.224 0.846 0.195



Entry 6:
Material: CsSnSe3
Method: DFT, SCAN
State: single point on PBEsol structure

The offset from the most stable computed form comes out at 359 meV/atom. The calculation puts the raw formation energy at -2.04 eV per formula unit.

Cell lengths 5.362, 5.362, 5.362 Å; angles 90.00, 90.00, 90.00 degrees
Positions (direct):
Se 0.000 0.000 0.500
Se 0.500 0.000 0.000
Se 0.000 0.500 0.000
Cs 0.500 0.500 0.500
Sn 0.000 0.000 0.000